An optimized crystal structure of KPr2C2N6. Source: Alexandria, functional PBE.

POSCAR file:
```
KPr2C2N6
1.0
5.1472 -3.2407 0.0000
5.1472 3.2407 0.0000
-2.6174 0.0000 5.8722
K Pr C N
1 2 2 6
Direct
0.0000 0.0000 0.0000
0.3301 0.3301 0.6988
0.6699 0.6699 0.3012
0.3287 0.3287 0.2419
0.6713 0.6713 0.7581
0.1092 0.4555 0.3043
0.4154 0.4154 0.1330
0.4555 0.1092 0.3043
0.5445 0.8908 0.6957
0.5846 0.5846 0.8670
0.8908 0.5445 0.6957
```

Values from the calculation:
Symmetry   No. 12
V   17.81 Å³ per atom
Uncorrected energy   -7.51 eV per atom
Raw formation energy   -31 kJ per mole of atoms
Total magnetic moment   1.01 μB per formula unit